(1)
# Tb6Nd3ErTm2 (PBE-GGA, optimized geometry)
data_Tb6Nd3ErTm2
_chemical_formula_sum 'Tb12 Nd6 Er2 Tm4'
_space_group_name_H-M_alt 'C 1 2/m 1'
_space_group_IT_number 12
_space_group_name_Hall '-C 2y'
_cell_length_a 6.193
_cell_length_b 10.723
_cell_length_c 11.837
_cell_angle_alpha 90.00
_cell_angle_beta 100.03
_cell_angle_gamma 90.00
loop_
_atom_site_label
_atom_site_type_symbol
_atom_site_fract_x
_atom_site_fract_y
_atom_site_fract_z
_atom_site_occupancy
Tb1 Tb 0.248 0.000 0.245 1
Tb2 Tb 0.249 0.333 0.245 1
Nd1 Nd 0.000 0.000 0.500 1
Nd2 Nd 0.000 0.333 0.500 1
Er1 Er 0.000 0.500 0.000 1
Tm1 Tm 0.000 0.167 0.000 1
# E   -4.61 eV per atom
# Energy relative to the elements   0.019 eV per atom

(2)
# Tb2Nd6Er3Tm (PBE-GGA, optimized geometry)
data_Tb2Nd6Er3Tm
_chemical_formula_sum 'Tb4 Nd12 Er6 Tm2'
_space_group_name_H-M_alt 'C 1 2/m 1'
_space_group_IT_number 12
_space_group_name_Hall '-C 2y'
_cell_length_a 6.256
_cell_length_b 10.834
_cell_length_c 11.814
_cell_angle_alpha 90.00
_cell_angle_beta 100.13
_cell_angle_gamma 90.00
loop_
_atom_site_label
_atom_site_type_symbol
_atom_site_fract_x
_atom_site_fract_y
_atom_site_fract_z
_atom_site_occupancy
Tb1 Tb 0.000 0.167 0.000 1
Nd1 Nd 0.249 0.500 0.749 1
Nd2 Nd 0.250 0.166 0.749 1
Er1 Er 0.000 0.000 0.500 1
Er2 Er 0.000 0.333 0.500 1
Tm1 Tm 0.000 0.500 0.000 1
# E   -4.66 eV per atom
# Energy relative to the elements   0.013 eV per atom

(3)
# Tb2NdEr6Tm (PBE-GGA, optimized geometry)
data_Tb2NdEr6Tm
_chemical_formula_sum 'Tb8 Nd4 Er24 Tm4'
_space_group_name_H-M_alt 'C 1 2/c 1'
_space_group_IT_number 15
_space_group_name_Hall '-C 2yc'
_cell_length_a 9.007
_cell_length_b 14.949
_cell_length_c 9.481
_cell_angle_alpha 90.00
_cell_angle_beta 97.24
_cell_angle_gamma 90.00
loop_
_atom_site_label
_atom_site_type_symbol
_atom_site_fract_x
_atom_site_fract_y
_atom_site_fract_z
_atom_site_occupancy
Tb1 Tb 0.249 0.053 0.454 1
Nd1 Nd 0.000 0.476 0.250 1
Er1 Er 0.063 0.311 0.942 1
Er2 Er 0.100 0.108 0.118 1
Er3 Er 0.207 0.275 0.316 1
Tm1 Tm 0.000 0.091 0.750 1
# E   -4.47 eV per atom
# Energy relative to the elements   0.120 eV per atom